Entry 1:
This record from the Open Quantum Materials Database describes an optimized crystal structure of GdErBe2Si2. The functional is GGA-PBE.

```
6
Lattice="3.874 0.000 0.000 -1.937 3.355 0.000 0.000 0.000 8.052" Properties=species:S:1:pos:R:3 pbc="T T T"
Si 0.000 2.237 2.050
Be 0.000 2.237 6.006
Er 0.000 0.000 4.026
Be 1.937 1.118 2.046
Si 1.937 1.118 6.002
Gd 0.000 0.000 0.000
```

---

Entry 2:
This record from the Open Quantum Materials Database describes an optimized crystal structure of ErBeGe. The functional is GGA-PBE.

```
3
Lattice="0.102 -4.524 0.487 -2.099 -1.956 3.533 -3.779 -2.447 -0.668" Properties=species:S:1:pos:R:3 pbc="T T T"
Er 0.000 0.000 0.000
Be -1.444 -2.232 0.838
Ge -4.332 -6.695 2.514
```

---

Entry 3:
This record from the Open Quantum Materials Database describes an optimized crystal structure of HoErBe2Ge2. The functional is GGA-PBE.

```
6
Lattice="3.909 0.000 0.000 -1.955 3.385 0.000 0.000 0.000 7.979" Properties=species:S:1:pos:R:3 pbc="T T T"
Be 0.000 2.257 5.988
Ho 0.000 0.000 3.990
Ge 0.000 2.257 1.989
Be 1.955 1.128 1.991
Ge 1.955 1.128 5.990
Er 0.000 0.000 0.000
```

---

Entry 4:
This record from the Open Quantum Materials Database describes an optimized crystal structure of ErLuBe2Ge2. The functional is GGA-PBE.

```
6
Lattice="-2.974 2.489 0.167 -0.546 -3.587 -1.378 -1.721 -2.547 7.311" Properties=species:S:1:pos:R:3 pbc="T T T"
Ge -3.451 -1.441 5.118
Ge -1.790 -2.205 0.982
Lu -0.860 -1.273 3.655
Er 0.000 0.000 0.000
Be -2.598 -0.178 1.491
Be -2.643 -3.468 4.608
```

---

Entry 5:
This record from the Open Quantum Materials Database describes an optimized crystal structure of NdErBe2Ge2. The functional is GGA-PBE.

```
6
Lattice="-1.145 3.773 0.159 -0.652 -2.125 -3.261 -7.336 -2.353 3.000" Properties=species:S:1:pos:R:3 pbc="T T T"
Be -6.387 -1.945 0.157
Be -2.746 1.241 -0.260
Ge -6.565 0.016 1.302
Er 0.000 0.000 0.000
Ge -2.568 -0.720 -1.405
Nd -3.668 -1.176 1.500
```

---

Entry 6:
This record from the Open Quantum Materials Database describes an optimized crystal structure of PrErBe2Ge2. The functional is GGA-PBE.

```
6
Lattice="-0.821 -3.444 1.760 2.976 2.239 1.328 -5.233 3.888 5.169" Properties=species:S:1:pos:R:3 pbc="T T T"
Pr 0.000 0.000 0.000
Er -2.617 1.944 2.585
Ge -3.411 1.315 5.424
Be -2.160 3.220 5.295
Ge 0.332 1.368 2.833
Be -0.918 -0.537 2.962
```

---

Entry 7:
This record from the Open Quantum Materials Database describes an optimized crystal structure of SmErBe2Ge2. The functional is GGA-PBE.

```
6
Lattice="-1.707 -3.413 0.948 1.329 0.585 -3.654 7.278 -3.039 2.161" Properties=species:S:1:pos:R:3 pbc="T T T"
Be 1.169 -2.859 -0.032
Er 3.639 -1.519 1.081
Ge 2.192 -1.530 -1.563
Be 5.732 -3.008 -0.512
Sm 0.000 0.000 0.000
Ge 4.708 -4.336 1.019
```

---

Entry 8:
This record from the Open Quantum Materials Database describes an optimized crystal structure of ErZrBe2Ge2. The functional is GGA-PBE.

```
6
Lattice="-3.164 0.856 -1.973 0.246 -3.328 1.870 -3.027 3.310 6.291" Properties=species:S:1:pos:R:3 pbc="T T T"
Be -3.108 0.491 5.197
Ge -4.276 1.921 3.982
Zr -1.514 1.655 3.145
Be -2.837 0.347 0.991
Ge -1.669 -1.083 2.206
Er 0.000 0.000 0.000
```

---

Entry 9:
This record from the Open Quantum Materials Database describes an optimized crystal structure of ErBeHg. The functional is GGA-PBE.

```
3
Lattice="-4.482 -0.473 -0.998 -3.198 1.352 3.043 -2.578 3.731 -0.865" Properties=species:S:1:pos:R:3 pbc="T T T"
Be -2.565 1.152 0.295
Hg 0.000 0.000 0.000
Er -7.694 3.457 0.885
```

---

Entry 10:
This record from the Open Quantum Materials Database describes an optimized crystal structure of HoErBe. The functional is GGA-PBE.

```
3
Lattice="2.875 0.527 3.742 0.082 4.113 2.371 -1.823 0.254 4.377" Properties=species:S:1:pos:R:3 pbc="T T T"
Be 0.284 1.223 2.623
Ho 0.851 3.670 7.868
Er 0.000 0.000 0.000
```

Computed properties:
Polymorph energy (0 for the lowest one) (eV/atom): 0.0000

---

Entry 11:
This record from the Open Quantum Materials Database describes an optimized crystal structure of HoErBe2Si2. The functional is GGA-PBE.

```
6
Lattice="3.856 0.000 0.000 -1.928 3.339 0.000 0.000 0.000 7.964" Properties=species:S:1:pos:R:3 pbc="T T T"
Ho 0.000 0.000 0.000
Si 0.000 2.226 2.000
Be 0.000 2.226 5.967
Be 1.928 1.113 1.998
Si 1.928 1.113 5.964
Er 0.000 0.000 3.982
```

---

Entry 12:
This record from the Open Quantum Materials Database describes an optimized crystal structure of ErBeIn. The functional is GGA-PBE.

```
3
Lattice="0.900 -4.682 0.126 -2.524 -2.988 -2.729 2.059 -2.134 -3.735" Properties=species:S:1:pos:R:3 pbc="T T T"
Be 0.109 -2.451 -1.585
Er 0.000 0.000 0.000
In 0.326 -7.353 -4.754
```

Computed properties:
Polymorph energy (0 for the lowest one) (eV/atom): 0.7776

---

Entry 13:
This record from the Open Quantum Materials Database describes an optimized crystal structure of ErBeIn. The functional is GGA-PBE.

```
3
Lattice="0.000 3.166 3.166 3.166 0.000 3.166 3.166 3.166 0.000" Properties=species:S:1:pos:R:3 pbc="T T T"
Be 0.000 0.000 0.000
In 4.749 4.749 4.749
Er 1.583 1.583 1.583
```

Computed properties:
Polymorph energy (0 for the lowest one) (eV/atom): 0.0000

---

Entry 14:
This record from the Open Quantum Materials Database describes an optimized crystal structure of ErBeIr. The functional is GGA-PBE.

```
3
Lattice="0.000 3.150 3.150 3.150 0.000 3.150 3.150 3.150 0.000" Properties=species:S:1:pos:R:3 pbc="T T T"
Er 0.000 0.000 0.000
Be 1.575 1.575 1.575
Ir 4.725 4.725 4.725
```

Computed properties:
Polymorph energy (0 for the lowest one) (eV/atom): 0.7871

---

Entry 15:
This record from the Open Quantum Materials Database describes an optimized crystal structure of ErBeIr. The functional is GGA-PBE.

```
3
Lattice="0.719 -2.159 3.510 -1.468 1.404 3.657 -3.140 -2.006 1.903" Properties=species:S:1:pos:R:3 pbc="T T T"
Ir -2.916 -2.070 6.803
Er -0.972 -0.690 2.268
Be 0.000 0.000 0.000
```

Computed properties:
Polymorph energy (0 for the lowest one) (eV/atom): 0.0000

---

Entry 16:
This record from the Open Quantum Materials Database describes an optimized crystal structure of Er2BeIr2. The functional is GGA-PBE.

```
10
Lattice="-1.051 0.913 5.516 -5.226 -0.042 2.248 1.577 -6.937 0.012" Properties=species:S:1:pos:R:3 pbc="T T T"
Ir -2.300 -6.884 1.701
Be -3.647 -5.154 2.568
Er -2.471 -3.792 5.469
Er -0.308 -5.483 3.200
Er -4.393 -0.583 4.576
Ir -2.401 0.817 6.075
Ir -0.035 -2.717 4.085
Be -1.054 -0.912 5.209
Er -2.230 -2.274 2.307
Ir -4.666 -3.349 3.691
```

---

Entry 17:
This record from the Open Quantum Materials Database describes an optimized crystal structure of KErBe. The functional is GGA-PBE.

```
3
Lattice="0.000 3.584 3.584 3.584 0.000 3.584 3.584 3.584 0.000" Properties=species:S:1:pos:R:3 pbc="T T T"
Be 1.792 1.792 1.792
K 5.375 5.375 5.375
Er 0.000 0.000 0.000
```

Computed properties:
Polymorph energy (0 for the lowest one) (eV/atom): 0.0000

---

Entry 18:
This record from the Open Quantum Materials Database describes an optimized crystal structure of KErBeSe3. The functional is GGA-PBE.

```
12
Lattice="-1.648 6.900 2.963 -2.329 -6.602 -3.178 -0.859 -4.405 9.783" Properties=species:S:1:pos:R:3 pbc="T T T"
Be -2.229 -1.464 2.106
Er -0.429 -2.203 4.891
Er 0.000 0.000 0.000
Se -2.434 -3.353 3.273
Se -2.698 -2.270 9.659
Se -2.505 -6.936 -0.383
Be -2.607 -2.644 7.462
Se -2.331 2.829 9.951
Se -2.139 -1.838 -0.091
K -2.798 -6.437 5.737
Se -2.402 -0.754 6.294
K -2.038 2.330 3.831
```

---

Entry 19:
This record from the Open Quantum Materials Database describes an optimized crystal structure of KErBeTe3. The functional is GGA-PBE.

```
12
Lattice="4.938 3.619 -5.517 -7.009 -0.092 4.335 5.177 5.888 8.496" Properties=species:S:1:pos:R:3 pbc="T T T"
Te 0.845 2.667 -1.188
K -2.682 2.322 3.958
Te -2.397 4.550 10.105
Be 0.685 3.368 1.182
Te 2.261 6.748 8.502
Er 0.000 0.000 0.000
K 5.788 7.093 3.356
Te 2.660 4.732 1.791
Te 0.446 4.683 5.523
Be 2.421 6.047 6.132
Te 5.503 4.864 -2.791
Er 2.588 2.944 4.248
```

---

Entry 20:
This record from the Open Quantum Materials Database describes an optimized crystal structure of LiErBe. The functional is GGA-PBE.

```
3
Lattice="-3.815 -2.460 0.197 -1.406 -1.699 3.973 -3.699 1.701 2.017" Properties=species:S:1:pos:R:3 pbc="T T T"
Li -6.690 -1.843 4.640
Be -2.230 -0.614 1.547
Er 0.000 0.000 0.000
```

---

no.,total moment (μB/f.u.),final energy (eV per cell)
1,0.0,-31.45
2,0.0,-11.98
3,0.0,-29.82
4,0.0,-29.64
5,0.0,-29.93
6,0.0,-29.90
7,0.0,-29.95
8,0.0,-33.75
9,0.3,-8.02
10,0.0,-9.91
11,0.0,-31.39
12,0.0,-9.29
13,0.0,-11.63
14,0.0,-15.73
15,0.0,-18.09
16,0.0,-69.08
17,0.4,-5.53
18,0.0,-56.62
19,0.0,-49.71
20,0.0,-7.60